Density functional theory data (PBE) for a relaxed TmNbAs crystal.

Lattice parameters (Å, degrees): 4.524 4.524 4.524 60.00 60.00 60.00
Element x y z (fractional)
Tm (0.000, 0.000, 0.000)
Nb (0.500, 0.500, 0.500)
As (0.750, 0.750, 0.750)

Results
Calculated total energy (eV for the cell shown): -20.19
Total magnetization (Bohr magnetons per cell): 0.08